MnSnF after structural relaxation, computed with GGA+U.

a b c (Å): 3.3737 3.3737 11.9268
angles (deg): 90.00 90.00 120.00
Space group P-3m1 (No. 164)
Unique sites:
Mn  0.3333  0.6667  0.1760 [2 per cell]
Sn  0.0000  0.0000  0.3724 [2 per cell]
F  0.3333  0.6667  0.9053 [2 per cell]

Computed properties:
DFT total energy (eV per atom): -5.56
DOS(E_F) (states/eV/cell): 1.0